No. 1
Here is TiVTcCl2 after structural relaxation from Alexandria. Energies are from PBE-GGA.

a b c (Å): 4.453 4.453 4.854
angles (deg): 90.00 90.00 90.00
Space group P4/mmm (No. 123)
Inequivalent atoms, fractional coordinates:
1 Ti 0.000 0.000 0.000 [1 per cell]
2 V 0.500 0.500 0.500 [1 per cell]
3 Tc 0.500 0.500 0.000 [1 per cell]
4 Cl 0.000 0.500 0.500 [2 per cell]

Results
ΔE_f (raw) ... 670 meV per atom
Fermi-level density of states ... 9.57 states/eV per cell
Total energy ... -5.545 eV/atom
Crystal system ... tetragonal

=====

No. 2
Here is LaSm3Er6Tm2 after structural relaxation from Alexandria. Energies are from PBE-GGA.

a b c (Å): 6.159 10.663 11.758
angles (deg): 90.00 100.02 90.00
Space group C2/m (No. 12)
Inequivalent atoms, fractional coordinates:
1 La 0.000 0.000 0.000 [2 per cell]
2 Sm 0.000 0.167 0.500 [4 per cell]
3 Sm 0.000 0.500 0.500 [2 per cell]
4 Er 0.249 0.333 0.750 [8 per cell]
5 Er 0.249 0.500 0.250 [4 per cell]
6 Tm 0.000 0.333 0.000 [4 per cell]

Results
Fermi-level density of states ... 30.81 states/eV per cell
Total energy ... -4.595 eV/atom
Energy relative to the elements ... 22 meV per atom
Crystal system ... monoclinic

=====

No. 3
Here is SrAs2SeBr after structural relaxation from Alexandria. Energies are from PBE-GGA.

a b c (Å): 5.083 5.083 5.606
angles (deg): 90.00 90.00 90.00
Space group P4/mmm (No. 123)
Inequivalent atoms, fractional coordinates:
1 Sr 0.000 0.000 0.000 [1 per cell]
2 As 0.000 0.500 0.500 [2 per cell]
3 Se 0.500 0.500 0.500 [1 per cell]
4 Br 0.500 0.500 0.000 [1 per cell]

Results
ΔE_f (raw) ... -162 meV per atom
Relative energy among the computed polymorphs ... 0 meV per atom
Fermi-level density of states ... 4.57 states/eV per cell
Total energy ... -3.390 eV/atom
Crystal system ... tetragonal

=====

Copy entry 1 word for word.
Here is TiVTcCl2 after structural relaxation from Alexandria. Energies are from PBE-GGA.

a b c (Å): 4.453 4.453 4.854
angles (deg): 90.00 90.00 90.00
Space group P4/mmm (No. 123)
Inequivalent atoms, fractional coordinates:
1 Ti 0.000 0.000 0.000 [1 per cell]
2 V 0.500 0.500 0.500 [1 per cell]
3 Tc 0.500 0.500 0.000 [1 per cell]
4 Cl 0.000 0.500 0.500 [2 per cell]

Results
ΔE_f (raw) ... 670 meV per atom
Fermi-level density of states ... 9.57 states/eV per cell
Total energy ... -5.545 eV/atom
Crystal system ... tetragonal

=====

Which of these has the lowest total energy? TiVTcCl2